# PBEsol TePCl2, optimized geometry
# Energy above the most stable polymorph in this dataset in eV per formula unit: 0.00
# Theoretical density in g/cm3: 3.5
# Total DFT energy (no corrections) in eV per atom: -3.53
data_TePCl2
_symmetry_space_group_name_H-M 'P m m 2'
_symmetry_Int_Tables_number 25
_symmetry_space_group_name_Hall 'P 2 -2'
_cell_length_a 3.965
_cell_length_b 4.005
_cell_length_c 6.888
_cell_angle_alpha 90.00
_cell_angle_beta 90.00
_cell_angle_gamma 90.00
loop_
_atom_site_label
_atom_site_fract_x
_atom_site_fract_y
_atom_site_fract_z
Te1 0.000 0.000 0.000
P1 0.500 0.500 0.978
Cl1 0.000 0.000 0.657
Cl2 0.500 0.500 0.281

# PBEsol TePCl2, optimized geometry
# Energy above the most stable polymorph in this dataset in eV per formula unit: 3.34
# Theoretical density in g/cm3: 4.7
# Total DFT energy (no corrections) in eV per atom: -2.70
data_TePCl2
_symmetry_space_group_name_H-M 'F m -3 m'
_symmetry_Int_Tables_number 225
_symmetry_space_group_name_Hall '-F 4 2 3'
_cell_length_a 6.861
_cell_length_b 6.861
_cell_length_c 6.861
_cell_angle_alpha 90.00
_cell_angle_beta 90.00
_cell_angle_gamma 90.00
loop_
_atom_site_label
_atom_site_fract_x
_atom_site_fract_y
_atom_site_fract_z
Te1 0.000 0.000 0.000
P1 0.000 0.000 0.500
Cl1 0.250 0.250 0.250

# PBEsol TePCl, optimized geometry
# Theoretical density in g/cm3: 3.5
# Total DFT energy (no corrections) in eV per atom: -3.90
data_TePCl
_symmetry_space_group_name_H-M 'I 4 m m'
_symmetry_Int_Tables_number 107
_symmetry_space_group_name_Hall 'I 4 -2'
_cell_length_a 3.802
_cell_length_b 3.802
_cell_length_c 12.561
_cell_angle_alpha 90.00
_cell_angle_beta 90.00
_cell_angle_gamma 90.00
loop_
_atom_site_label
_atom_site_fract_x
_atom_site_fract_y
_atom_site_fract_z
Te1 0.000 0.000 0.000
P1 0.000 0.000 0.543
Cl1 0.000 0.000 0.706